Entry 1:
Here is crystalline SmEr2Th2 at its relaxed geometry from Alexandria via LeMat-Bulk. Energies are from PBE.

Values from the calculation:
Crystal system: trigonal
ΔH_f (0 K) in eV per atom: 0.0331
Distance to the lowest polymorph of the same formula in meV/atom: 16

a = 3.5562 Å, b = 3.5562 Å, c = 14.5802 Å
α = 90.00°, β = 90.00°, γ = 120.00°
Space group P-3m1 (No. 164)
Symmetry-distinct sites (fractional):
Sm  0.0000  0.0000  0.0000
Er  0.3333  0.6667  0.8008
Th  0.3333  0.6667  0.4006

***

Entry 2:
Here is crystalline Sm4Er3Th2 at its relaxed geometry from Alexandria via LeMat-Bulk. Energies are from PBE.

Values from the calculation:
Crystal system: monoclinic
ΔH_f (0 K) in eV per atom: 0.1183
Distance to the lowest polymorph of the same formula in meV/atom: 44

a = 16.207 Å, b = 11.789 Å, c = 6.161 Å
α = 90.00°, β = 97.55°, γ = 90.00°
Space group C2/c (No. 15)
Symmetry-distinct sites (fractional):
Sm  0.050  0.138  0.016
Sm  0.216  0.366  0.847
Er  0.000  0.392  0.750
Er  0.169  0.108  0.582
Th  0.110  0.361  0.312

***

Entry 3:
Here is crystalline Sm2Er2Th5 at its relaxed geometry from Alexandria via LeMat-Bulk. Energies are from PBE.

Values from the calculation:
Crystal system: triclinic
ΔH_f (0 K) in eV per atom: 0.0779

a = 6.194 Å, b = 6.203 Å, c = 9.028 Å
α = 76.48°, β = 83.20°, γ = 60.07°
Space group P-1 (No. 2)
Symmetry-distinct sites (fractional):
Sm  0.163  0.387  0.330
Er  0.170  0.161  0.997
Th  0.173  0.936  0.668
Th  0.488  0.723  0.332
Th  0.500  0.500  0.000

***

no.,electronic total energy (eV per formula unit),total magnetization (μB per formula unit),DOS at the Fermi energy (states/eV per atom)
1,-28.5,0.00,1.33
2,-46.3,0.00,1.52
3,-55.0,0.00,1.69